No. 1
# NbVNiMo | Alexandria via LeMat-Bulk | PBE | optimized geometry
data_NbVNiMo
_chemical_formula_sum 'Nb4 V4 Ni4 Mo4'
_cell_length_a 6.1798
_cell_length_b 6.1798
_cell_length_c 6.1798
_cell_angle_alpha 90.00
_cell_angle_beta 90.00
_cell_angle_gamma 90.00
_symmetry_space_group_name_H-M 'F -4 3 m'
_symmetry_Int_Tables_number 216
_symmetry_space_group_name_Hall 'F -4 2 3'
loop_
_atom_site_label
_atom_site_type_symbol
_atom_site_fract_x
_atom_site_fract_y
_atom_site_fract_z
Nb1 Nb 0.0000 0.0000 0.0000
V1 V 0.0000 0.0000 0.5000
Ni1 Ni 0.2500 0.2500 0.2500
Mo1 Mo 0.2500 0.2500 0.7500
# - DOS at the Fermi energy: 17.6 states/eV/cell
# - Energy relative to the elements: -0.013 eV per atom
# - Electronic total energy: -8.963 eV per atom
# - Total magnetization: 0.0 μB/f.u.


No. 2
# Cu5Pd2Pt2 | Alexandria via LeMat-Bulk | PBE | optimized geometry
data_Cu5Pd2Pt2
_chemical_formula_sum 'Cu5 Pd2 Pt2'
_cell_length_a 4.6409
_cell_length_b 4.6411
_cell_length_c 7.0860
_cell_angle_alpha 71.11
_cell_angle_beta 88.90
_cell_angle_gamma 60.17
_symmetry_space_group_name_H-M 'P -1'
_symmetry_Int_Tables_number 2
_symmetry_space_group_name_Hall '-P 1'
loop_
_atom_site_label
_atom_site_type_symbol
_atom_site_fract_x
_atom_site_fract_y
_atom_site_fract_z
Cu1 Cu 0.0000 0.0000 0.0000
Cu2 Cu 0.1134 0.4425 0.3365
Cu3 Cu 0.4450 0.7713 0.3358
Pd1 Pd 0.3314 0.3318 0.9994
Pt1 Pt 0.2204 0.8989 0.6636
# - DOS at the Fermi energy: 4.9 states/eV/cell
# - Energy relative to the elements: -0.116 eV per atom
# - Electronic total energy: -4.888 eV per atom
# - Total magnetization: 0.0 μB/f.u.


No. 3
# SrBe2Tc | Alexandria via LeMat-Bulk | PBE | optimized geometry
data_SrBe2Tc
_chemical_formula_sum 'Sr1 Be2 Tc1'
_cell_length_a 2.9829
_cell_length_b 2.9829
_cell_length_c 7.2335
_cell_angle_alpha 90.00
_cell_angle_beta 90.00
_cell_angle_gamma 90.00
_symmetry_space_group_name_H-M 'P 4 m m'
_symmetry_Int_Tables_number 99
_symmetry_space_group_name_Hall 'P 4 -2'
loop_
_atom_site_label
_atom_site_type_symbol
_atom_site_fract_x
_atom_site_fract_y
_atom_site_fract_z
Sr1 Sr 0.0000 0.0000 0.0000
Be1 Be 0.0000 0.0000 0.5232
Be2 Be 0.5000 0.5000 0.6667
Tc1 Tc 0.5000 0.5000 0.3483
# - DOS at the Fermi energy: 3.8 states/eV/cell
# - Energy relative to the elements: 0.590 eV per atom
# - Electronic total energy: -4.285 eV per atom
# - Total magnetization: 0.4 μB/f.u.


No. 4
# AsPt2Au | Alexandria via LeMat-Bulk | PBE | optimized geometry
data_AsPt2Au
_chemical_formula_sum 'As2 Pt4 Au2'
_cell_length_a 9.9866
_cell_length_b 3.0338
_cell_length_c 4.7591
_cell_angle_alpha 90.00
_cell_angle_beta 107.30
_cell_angle_gamma 90.00
_symmetry_space_group_name_H-M 'C 1 m 1'
_symmetry_Int_Tables_number 8
_symmetry_space_group_name_Hall 'C -2y'
loop_
_atom_site_label
_atom_site_type_symbol
_atom_site_fract_x
_atom_site_fract_y
_atom_site_fract_z
As1 As 0.0000 0.0000 0.0000
Pt1 Pt 0.0310 0.5000 0.5890
Pt2 Pt 0.2864 0.0000 0.8397
Au1 Au 0.2605 0.5000 0.3247
# - DOS at the Fermi energy: 3.5 states/eV/cell
# - Energy relative to the elements: 0.011 eV per atom
# - Electronic total energy: -4.991 eV per atom
# - Total magnetization: 0.0 μB/f.u.


No. 5
# Nd2FeCu | Alexandria via LeMat-Bulk | PBE | optimized geometry
data_Nd2FeCu
_chemical_formula_sum 'Nd2 Fe1 Cu1'
_cell_length_a 3.5451
_cell_length_b 3.5451
_cell_length_c 7.1579
_cell_angle_alpha 90.00
_cell_angle_beta 90.00
_cell_angle_gamma 90.00
_symmetry_space_group_name_H-M 'P 4/m m m'
_symmetry_Int_Tables_number 123
_symmetry_space_group_name_Hall '-P 4 2'
loop_
_atom_site_label
_atom_site_type_symbol
_atom_site_fract_x
_atom_site_fract_y
_atom_site_fract_z
Nd1 Nd 0.0000 0.0000 0.2411
Fe1 Fe 0.5000 0.5000 0.0000
Cu1 Cu 0.5000 0.5000 0.5000
# - DOS at the Fermi energy: 4.7 states/eV/cell
# - Energy relative to the elements: 0.072 eV per atom
# - Electronic total energy: -5.451 eV per atom
# - Total magnetization: 1.6 μB/f.u.


No. 6
# SrNbNi2Cl | Alexandria via LeMat-Bulk | PBE | optimized geometry
data_SrNbNi2Cl
_chemical_formula_sum 'Sr1 Nb1 Ni2 Cl1'
_cell_length_a 4.8791
_cell_length_b 4.8791
_cell_length_c 5.1863
_cell_angle_alpha 90.00
_cell_angle_beta 90.00
_cell_angle_gamma 90.00
_symmetry_space_group_name_H-M 'P 4/m m m'
_symmetry_Int_Tables_number 123
_symmetry_space_group_name_Hall '-P 4 2'
loop_
_atom_site_label
_atom_site_type_symbol
_atom_site_fract_x
_atom_site_fract_y
_atom_site_fract_z
Sr1 Sr 0.0000 0.0000 0.0000
Nb1 Nb 0.5000 0.5000 0.5000
Ni1 Ni 0.0000 0.5000 0.0000
Cl1 Cl 0.0000 0.0000 0.5000
# - E_form (uncorrected): 1.389 eV per atom
# - DOS at the Fermi energy: 7.4 states/eV/cell
# - Electronic total energy: -3.643 eV per atom
# - Total magnetization: 3.4 μB/f.u.


No. 7
# SmMgScCd | Alexandria via LeMat-Bulk | PBE | optimized geometry
data_SmMgScCd
_chemical_formula_sum 'Sm4 Mg4 Sc4 Cd4'
_cell_length_a 7.4002
_cell_length_b 7.4002
_cell_length_c 7.4002
_cell_angle_alpha 90.00
_cell_angle_beta 90.00
_cell_angle_gamma 90.00
_symmetry_space_group_name_H-M 'F -4 3 m'
_symmetry_Int_Tables_number 216
_symmetry_space_group_name_Hall 'F -4 2 3'
loop_
_atom_site_label
_atom_site_type_symbol
_atom_site_fract_x
_atom_site_fract_y
_atom_site_fract_z
Sm1 Sm 0.0000 0.0000 0.0000
Mg1 Mg 0.2500 0.2500 0.2500
Sc1 Sc 0.0000 0.0000 0.5000
Cd1 Cd 0.2500 0.2500 0.7500
# - DOS at the Fermi energy: 18.0 states/eV/cell
# - Energy relative to the elements: -0.178 eV per atom
# - Electronic total energy: -3.568 eV per atom
# - Total magnetization: 0.0 μB/f.u.


No. 8
# Na4Sc3BiO8 | Alexandria via LeMat-Bulk | PBE | optimized geometry
data_Na4Sc3BiO8
_chemical_formula_sum 'Na12 Sc9 Bi3 O24'
_cell_length_a 6.5758
_cell_length_b 6.5758
_cell_length_c 16.5827
_cell_angle_alpha 90.00
_cell_angle_beta 90.00
_cell_angle_gamma 120.00
_symmetry_space_group_name_H-M 'R -3 m'
_symmetry_Int_Tables_number 166
_symmetry_space_group_name_Hall '-R 3 2"'
loop_
_atom_site_label
_atom_site_type_symbol
_atom_site_fract_x
_atom_site_fract_y
_atom_site_fract_z
Na1 Na 0.0000 0.0000 0.0000
Na2 Na 0.0000 0.5000 0.0000
Sc1 Sc 0.0000 0.5000 0.5000
Bi1 Bi 0.0000 0.0000 0.5000
O1 O 0.0000 0.0000 0.2344
O2 O 0.0248 0.5124 0.7635
# - E_form (uncorrected): -2.429 eV per atom
# - DOS at the Fermi energy: 0.0 states/eV/cell
# - Electronic total energy: -6.667 eV per atom
# - Total magnetization: 0.0 μB/f.u.


No. 9
# RbSi2Cl | Alexandria via LeMat-Bulk | PBE | optimized geometry
data_RbSi2Cl
_chemical_formula_sum 'Rb4 Si8 Cl4'
_cell_length_a 7.5375
_cell_length_b 7.5375
_cell_length_c 7.5375
_cell_angle_alpha 90.00
_cell_angle_beta 90.00
_cell_angle_gamma 90.00
_symmetry_space_group_name_H-M 'F m -3 m'
_symmetry_Int_Tables_number 225
_symmetry_space_group_name_Hall '-F 4 2 3'
loop_
_atom_site_label
_atom_site_type_symbol
_atom_site_fract_x
_atom_site_fract_y
_atom_site_fract_z
Rb1 Rb 0.0000 0.0000 0.0000
Si1 Si 0.2500 0.2500 0.2500
Cl1 Cl 0.0000 0.0000 0.5000
# - E_form (uncorrected): 0.952 eV per atom
# - DOS at the Fermi energy: 15.7 states/eV/cell
# - Electronic total energy: -2.463 eV per atom
# - Total magnetization: 0.0 μB/f.u.


No. 10
# Pm2Ga3Ru | Alexandria via LeMat-Bulk | PBE | optimized geometry
data_Pm2Ga3Ru
_chemical_formula_sum 'Pm4 Ga6 Ru2'
_cell_length_a 4.5089
_cell_length_b 5.4441
_cell_length_c 10.8383
_cell_angle_alpha 90.00
_cell_angle_beta 90.00
_cell_angle_gamma 90.00
_symmetry_space_group_name_H-M 'I m m m'
_symmetry_Int_Tables_number 71
_symmetry_space_group_name_Hall '-I 2 2'
loop_
_atom_site_label
_atom_site_type_symbol
_atom_site_fract_x
_atom_site_fract_y
_atom_site_fract_z
Pm1 Pm 0.0000 0.0000 0.1998
Ga1 Ga 0.0000 0.5000 0.1163
Ga2 Ga 0.0000 0.5000 0.5000
Ru1 Ru 0.0000 0.0000 0.5000
# - DOS at the Fermi energy: 8.4 states/eV/cell
# - Energy relative to the elements: -0.286 eV per atom
# - Electronic total energy: -4.929 eV per atom
# - Total magnetization: 0.0 μB/f.u.


No. 11
# AcAl5Cu4 | Alexandria via LeMat-Bulk | PBE | optimized geometry
data_AcAl5Cu4
_chemical_formula_sum 'Ac2 Al10 Cu8'
_cell_length_a 7.1283
_cell_length_b 7.3590
_cell_length_c 6.7019
_cell_angle_alpha 90.00
_cell_angle_beta 90.00
_cell_angle_gamma 90.00
_symmetry_space_group_name_H-M 'P m m n'
_symmetry_Int_Tables_number 59
loop_
_symmetry_equiv_pos_as_xyz
'x,y,z'
'-x,-y,-z'
'-x+1/2,-y+1/2,z'
'x+1/2,y+1/2,-z'
'x+1/2,-y,-z'
'-x+1/2,y,z'
'-x,y+1/2,-z'
'x,-y+1/2,z'
loop_
_atom_site_label
_atom_site_type_symbol
_atom_site_fract_x
_atom_site_fract_y
_atom_site_fract_z
Ac1 Ac 0.2500 0.2500 0.0182
Al1 Al 0.0546 0.5637 0.2820
Al2 Al 0.2500 0.7500 0.9627
Cu1 Cu 0.0710 0.7500 0.6179
Cu2 Cu 0.2500 0.0848 0.5369
# - DOS at the Fermi energy: 7.8 states/eV/cell
# - Energy relative to the elements: -0.124 eV per atom
# - Electronic total energy: -4.045 eV per atom
# - Total magnetization: 0.0 μB/f.u.